CoReO4, optimized geometry, DFT PBE+U; energy relative to the lowest polymorph listed for this composition = 54 meV per atom; total energy = -89.53 eV per cell
1.0
6.3423 0.0000 0.0000
0.0000 6.6480 0.0000
0.0000 0.0000 2.8640
Co Re O
2 2 8
direct
0.0000 0.0000 0.0000
0.5000 0.5000 0.0000
0.0000 0.5000 0.5000
0.5000 0.0000 0.5000
0.0000 0.2897 0.0000
0.0000 0.7103 0.0000
0.2024 0.0000 0.5000
0.2976 0.5000 0.5000
0.5000 0.2103 0.0000
0.5000 0.7897 0.0000
0.7024 0.5000 0.5000
0.7976 0.0000 0.5000